AsC | GGA-PBE | optimized geometry

For the total magnetic moment, the calculation gives 0.0 μB per cell. Its energy of formation from the pure elements is 1.922 eV per atom. The energy above the most stable polymorph in this dataset comes out at 1.3814 eV per atom. Its density is 5.69 Mg/m³.

The structure belongs to space group P6/mmm (No. 191); the cell edges are 5.5027, 5.5027 and 2.9034 Å and the angles 90.00°, 90.00° and 120.00°. The distinct sites, in fractional coordinates, are As at (0.0000, 0.0000, 0.0000), As at (0.3333, 0.6667, 0.5000) and C at (0.0000, 0.5000, 0.0000).